# Nb2WCO, optimized geometry, DFT PBE with a Hubbard U
# Total DFT energy (no corrections) in Ry per atom: -0.557
data_Nb2WCO
_chemical_formula_sum 'Nb2 W1 C1 O1'
_cell_length_a 4.032
_cell_length_b 4.032
_cell_length_c 4.555
_cell_angle_alpha 90.00
_cell_angle_beta 90.00
_cell_angle_gamma 90.00
_space_group_name_H-M_alt 'P 4/m m m'
_space_group_IT_number 123
_space_group_name_Hall '-P 4 2'
loop_
_atom_site_label
_atom_site_type_symbol
_atom_site_fract_x
_atom_site_fract_y
_atom_site_fract_z
_atom_site_occupancy
Nb1 Nb 0.000 0.500 0.000 1
W1 W 0.000 0.000 0.500 1
C1 C 0.500 0.500 0.500 1
O1 O 0.500 0.500 0.000 1